An optimized crystal structure of Sm2GaSiBr2. Source: OQMD, functional PBE-GGA.

E_tot = -4.787 eV/atom
Calculated volume = 28.0 Å³/atom

Unit cell a=4.1092 b=4.1092 c=11.4897 alpha=90.00 beta=90.00 gamma=120.00
Space group P3m1 (No. 156)
Asymmetric unit:
Sm1 0.0000 0.0000 0.0000 (multiplicity 1)
Sm2 0.0000 0.0000 0.3605 (multiplicity 1)
Ga1 0.6667 0.3333 0.1613 (multiplicity 1)
Si1 0.3333 0.6667 0.1979 (multiplicity 1)
Br1 0.3333 0.6667 0.8397 (multiplicity 1)
Br2 0.6667 0.3333 0.5206 (multiplicity 1)